1.
Here is HfZn2Ir2 after structural relaxation from the Alexandria database. Energies are from PBE.

Calculated values
Energy: -6.46 eV/atom
Polymorph energy (0 for the lowest one): 0 meV per atom
Formation enthalpy at 0 K: -0.42 eV per atom

a b c (Å): 3.434 3.434 13.862
angles (deg): 90.00 90.00 90.00
Space group I4/mmm (No. 139)
Inequivalent atoms, fractional coordinates:
Hf  0.000  0.000  0.000 (multiplicity 2)
Zn  0.000  0.500  0.250 (multiplicity 4)
Ir  0.000  0.000  0.398 (multiplicity 4)

2.
Here is HfZn2Ir3 after structural relaxation from the Alexandria database. Energies are from PBE.

Calculated values
Energy: -7.07 eV/atom
Formation enthalpy at 0 K: -0.56 eV per atom

a b c (Å): 4.439 6.167 6.990
angles (deg): 90.00 108.24 90.00
Space group P2/m (No. 10)
Inequivalent atoms, fractional coordinates:
Hf  0.161  0.000  0.322 (multiplicity 2)
Zn  0.169  0.500  0.339 (multiplicity 2)
Zn  0.500  0.000  0.000 (multiplicity 1)
Zn  0.500  0.500  0.000 (multiplicity 1)
Ir  0.000  0.266  0.000 (multiplicity 2)
Ir  0.334  0.259  0.668 (multiplicity 4)

3.
Here is Hf6Zn3Ir after structural relaxation from the Alexandria database. Energies are from PBE.

Calculated values
Energy: -7.32 eV/atom
Formation enthalpy at 0 K: -0.08 eV per atom

a b c (Å): 5.411 7.990 10.830
angles (deg): 90.00 119.59 90.00
Space group P2_1/c (No. 14)
Inequivalent atoms, fractional coordinates:
Hf  0.036  0.180  0.443 (multiplicity 4)
Hf  0.357  0.675  0.451 (multiplicity 4)
Hf  0.402  0.084  0.245 (multiplicity 4)
Zn  0.127  0.100  0.750 (multiplicity 4)
Zn  0.500  0.000  0.500 (multiplicity 2)
Ir  0.000  0.000  0.000 (multiplicity 2)

4.
Here is HfZn2Ir2 after structural relaxation from the Alexandria database. Energies are from PBE.

Calculated values
Energy: -6.39 eV/atom
Polymorph energy (0 for the lowest one): 68 meV per atom
Formation enthalpy at 0 K: -0.35 eV per atom

a b c (Å): 7.195 7.195 3.074
angles (deg): 90.00 90.00 90.00
Space group P4/mbm (No. 127)
Inequivalent atoms, fractional coordinates:
Hf  0.000  0.000  0.000 (multiplicity 2)
Zn  0.154  0.346  0.500 (multiplicity 4)
Ir  0.143  0.643  0.000 (multiplicity 4)

5.
Here is Hf2Zn2Ir3 after structural relaxation from the Alexandria database. Energies are from PBE.

Calculated values
Energy: -7.67 eV/atom
Formation enthalpy at 0 K: -0.67 eV per atom

a b c (Å): 7.893 4.572 7.513
angles (deg): 90.00 120.51 90.00
Space group C2/m (No. 12)
Inequivalent atoms, fractional coordinates:
Hf  0.246  0.000  0.164 (multiplicity 4)
Zn  0.196  0.500  0.401 (multiplicity 4)
Ir  0.000  0.500  0.000 (multiplicity 2)
Ir  0.041  0.000  0.740 (multiplicity 4)

6.
Here is HfZn5Ir6 after structural relaxation from the Alexandria database. Energies are from PBE.

Calculated values
Energy: -6.13 eV/atom
Formation enthalpy at 0 K: -0.34 eV per atom

a b c (Å): 4.346 6.196 6.848
angles (deg): 90.00 108.59 90.00
Space group P2/m (No. 10)
Inequivalent atoms, fractional coordinates:
Hf  0.000  0.000  0.000 (multiplicity 1)
Zn  0.000  0.500  0.000 (multiplicity 1)
Zn  0.334  0.500  0.670 (multiplicity 2)
Zn  0.335  0.000  0.670 (multiplicity 2)
Ir  0.171  0.254  0.342 (multiplicity 4)
Ir  0.500  0.261  0.000 (multiplicity 2)

7.
Here is Hf2ZnIr after structural relaxation from the Alexandria database. Energies are from PBE.

Calculated values
Energy: -7.40 eV/atom
Formation enthalpy at 0 K: 0.11 eV per atom

a b c (Å): 3.179 3.758 14.124
angles (deg): 90.00 90.00 90.00
Space group Immm (No. 71)
Inequivalent atoms, fractional coordinates:
Hf  0.000  0.000  0.182 (multiplicity 4)
Zn  0.000  0.000  0.500 (multiplicity 2)
Ir  0.000  0.000  0.000 (multiplicity 2)

8.
Here is Hf5Zn4Ir after structural relaxation from the Alexandria database. Energies are from PBE.

Calculated values
Energy: -6.72 eV/atom
Formation enthalpy at 0 K: -0.34 eV per atom

a b c (Å): 3.314 3.314 16.333
angles (deg): 90.00 90.00 90.00
Space group P4/mmm (No. 123)
Inequivalent atoms, fractional coordinates:
Hf  0.000  0.000  0.000 (multiplicity 1)
Hf  0.000  0.000  0.201 (multiplicity 2)
Hf  0.000  0.000  0.403 (multiplicity 2)
Zn  0.500  0.500  0.100 (multiplicity 2)
Zn  0.500  0.500  0.300 (multiplicity 2)
Ir  0.500  0.500  0.500 (multiplicity 1)